HfCuAu2 | the Alexandria database | GGA-PBE | optimized geometry; SG = I-42d; DFT formation energy = 0.026 eV/atom
1.0
-3.703 3.703 2.733
3.703 -3.703 2.733
3.703 3.703 -2.733
Hf Cu Au
2 2 4
Direct
0.000 0.000 0.000 Hf
0.750 0.250 0.500 Hf
0.250 0.750 0.500 Cu
0.500 0.500 0.000 Cu
0.150 0.125 0.525 Au
0.375 0.850 0.975 Au
0.600 0.625 0.475 Au
0.875 0.400 0.025 Au